A:
# Tb5Pr3Ho4

Crystalline Tb5Pr3Ho4 at its relaxed geometry (PBE-GGA, Alexandria).

Values from the calculation:
As for the space group: P-1 (2).

Lattice parameters (Å, degrees): 7.168 11.339 12.929 151.29 56.41 129.22
Fractional coordinates of all 12 atoms:
Pr 0.414 0.831 0.666
Tb 0.748 0.502 0.001
Tb 0.667 0.331 0.165
Ho 0.833 0.667 0.834
Tb 0.252 0.498 0.999
Ho 0.082 0.165 0.331
Tb 0.333 0.669 0.835
Ho 0.167 0.333 0.166
Pr 0.000 0.000 0.500
Ho 0.918 0.835 0.669
Tb 0.500 0.000 0.500
Pr 0.586 0.169 0.334

***

B:
# Tb5Pr3Ho4

Crystalline Tb5Pr3Ho4 at its relaxed geometry (PBE-GGA, Alexandria).

Values from the calculation:
As for the space group: C2/m (12).

Lattice parameters (Å, degrees): 5.766 9.652 9.520 114.01 72.37 72.62
Fractional coordinates of all 12 atoms:
Tb 0.275 0.380 0.069
Ho 0.947 0.850 0.256
Tb 0.500 0.500 0.500
Pr 0.529 0.285 0.657
Ho 0.053 0.150 0.744
Tb 0.328 0.068 0.276
Tb 0.672 0.932 0.724
Ho 0.162 0.807 0.869
Pr 0.471 0.715 0.343
Pr 0.000 0.500 0.500
Ho 0.838 0.193 0.131
Tb 0.725 0.620 0.931

***

The structure with the least stability is B.

***

A:
# Tb5Pr4Ho2

Crystalline Tb5Pr4Ho2 at its relaxed geometry (PBE-GGA, Alexandria).

Values from the calculation:
As for the space group: Immm (71).

Lattice parameters (Å, degrees): 3.542 9.167 12.706 111.14 98.01 90.00
Fractional coordinates of all 11 atoms:
Tb 0.500 0.000 0.000
Pr 0.731 0.731 0.463
Pr 0.000 0.303 0.000
Tb 0.857 0.053 0.713
Tb 0.857 0.660 0.713
Ho 0.403 0.403 0.806
Ho 0.597 0.597 0.194
Tb 0.143 0.947 0.287
Tb 0.143 0.340 0.287
Pr 0.000 0.697 0.000
Pr 0.269 0.269 0.537

***

B:
# Tb5Pr4Ho2

Crystalline Tb5Pr4Ho2 at its relaxed geometry (PBE-GGA, Alexandria).

Values from the calculation:
As for the space group: C2/m (12).

Lattice parameters (Å, degrees): 5.704 6.690 10.061 90.86 106.47 90.00
Fractional coordinates of all 11 atoms:
Pr 0.694 0.070 0.387
Pr 0.306 0.930 0.613
Tb 0.130 0.891 0.261
Tb 0.791 0.598 0.582
Tb 0.870 0.109 0.739
Tb 0.209 0.402 0.418
Ho 0.597 0.554 0.194
Pr 0.981 0.712 0.961
Pr 0.019 0.288 0.039
Ho 0.403 0.446 0.806
Tb 0.500 0.000 0.000

***

The structure with the least stability is A.

***

A:
# Tb8Pr3Ho2

Crystalline Tb8Pr3Ho2 at its relaxed geometry (PBE-GGA, Alexandria).

Values from the calculation:
As for the space group: C2/m (12).

Lattice parameters (Å, degrees): 5.689 7.747 10.794 111.03 90.03 90.00
Fractional coordinates of all 13 atoms:
Ho 0.501 0.758 0.517
Tb 0.000 0.136 0.273
Tb 0.000 0.864 0.727
Tb 0.500 0.182 0.781
Pr 0.000 0.292 0.000
Tb 0.500 0.599 0.781
Tb 0.500 0.401 0.219
Pr 0.000 0.708 0.000
Pr 0.500 0.000 0.000
Tb 0.500 0.818 0.219
Tb 0.999 0.327 0.654
Tb 0.001 0.673 0.346
Ho 0.499 0.242 0.483

***

B:
# Tb8Pr3Ho2

Crystalline Tb8Pr3Ho2 at its relaxed geometry (PBE-GGA, Alexandria).

Values from the calculation:
As for the space group: C2/c (15).

Lattice parameters (Å, degrees): 10.073 9.121 15.121 68.61 131.33 123.51
Fractional coordinates of all 26 atoms:
Pr 0.500 0.000 0.500
Tb 0.331 0.521 0.753
Tb 0.195 0.768 0.997
Tb 0.073 0.768 0.503
Tb 0.805 0.232 0.003
Tb 0.173 0.405 0.965
Pr 0.905 0.310 0.250
Pr 0.095 0.690 0.750
Tb 0.669 0.479 0.247
Tb 0.061 0.979 0.249
Ho 0.285 0.220 0.494
Tb 0.732 0.405 0.535
Tb 0.268 0.595 0.465
Tb 0.418 0.979 0.251
Ho 0.715 0.780 0.506
Pr 0.312 0.125 0.750
Tb 0.582 0.021 0.749
Tb 0.827 0.595 0.035
Tb 0.310 0.479 0.253
Pr 0.688 0.875 0.250
Pr 0.000 0.000 0.000
Ho 0.435 0.220 0.006
Tb 0.927 0.232 0.497
Tb 0.690 0.521 0.747
Tb 0.939 0.021 0.751
Ho 0.565 0.780 0.994

***

The structure with the least stability is A.

***

A:
# TbPr4Ho6

Crystalline TbPr4Ho6 at its relaxed geometry (PBE-GGA, Alexandria).

Values from the calculation:
As for the space group: I-42m (121).

Lattice parameters (Å, degrees): 7.722 7.722 8.551 116.84 116.84 90.00
Fractional coordinates of all 11 atoms:
Pr 0.100 0.746 0.846
Ho 0.500 0.000 0.000
Pr 0.746 0.100 0.846
Ho 0.075 0.075 0.635
Ho 0.441 0.925 0.365
Ho 0.925 0.441 0.365
Tb 0.500 0.500 0.000
Pr 0.900 0.900 0.154
Ho 0.000 0.500 0.000
Ho 0.559 0.559 0.635
Pr 0.254 0.254 0.154

***

B:
# TbPr4Ho6

Crystalline TbPr4Ho6 at its relaxed geometry (PBE-GGA, Alexandria).

Values from the calculation:
As for the space group: I-42m (121).

Lattice parameters (Å, degrees): 9.719 9.719 9.719 58.35 139.67 139.67
Fractional coordinates of all 11 atoms:
Tb 0.000 0.000 0.000
Ho 0.000 0.800 0.445
Ho 0.354 0.555 0.555
Pr 0.000 0.634 0.014
Pr 0.000 0.014 0.634
Ho 0.000 0.445 0.800
Ho 0.500 0.500 0.000
Ho 0.646 0.200 0.200
Ho 0.500 0.000 0.500
Pr 0.619 0.986 0.986
Pr 0.381 0.366 0.366

***

The structure with the least stability is A.